Here is CaTa2Co after structural relaxation from the Alexandria database. Energies are from GGA-PBEsol.

a b c (Å): 3.1126 4.8623 5.4835
angles (deg): 116.32 106.49 90.00
With the nearest neighbours (Å) after each atom.
Atoms (fractional coordinates):
Ta 0.9592 0.9592 0.9185  2 Co 2.35
Ta 0.7402 0.2402 0.4803  4 Co 2.90, 6 Ta 3.05-3.18, 4 Ca 3.12
Co 0.2708 0.7708 0.5416  2 Ta 2.35
Ca 0.5298 0.5298 0.0596  2 Co 2.73, 4 Ta 2.96

Properties
The calculation puts the energy above the most stable polymorph in this dataset at 0 meV/atom. The total magnetization comes out at 0.00 μB per formula unit. Its raw total energy is -8.182 eV per atom.

---

Here is ScCo2Te after structural relaxation from the Alexandria database. Energies are from GGA-PBEsol.

a b c (Å): 4.0253 4.0253 8.9100
angles (deg): 103.06 103.06 90.00
With the nearest neighbours (Å) after each atom.
Atoms (fractional coordinates):
Co 0.1250 0.0670 0.7500  2 Te 2.46, 2 Co 2.54, 2 Sc 2.65
Co 0.6250 0.6830 0.7500  2 Te 2.46, 2 Co 2.54, 2 Sc 2.65
Co 0.3170 0.8750 0.2500  2 Te 2.46, 2 Co 2.54, 2 Sc 2.65
Co 0.9330 0.3750 0.2500  2 Te 2.46, 2 Co 2.54, 2 Sc 2.65
Sc 0.5000 0.5000 0.0000  4 Co 2.65, 4 Te 2.85
Sc 0.7500 0.2500 0.5000  4 Co 2.65, 4 Te 2.85
Te 0.0000 0.0000 0.0000  4 Co 2.46
Te 0.2500 0.7500 0.5000  4 Co 2.46

Properties
The calculation puts the energy above the most stable polymorph in this dataset at 360 meV/atom. The total magnetization comes out at 1.67 μB per formula unit. The energy relative to the elements, uncorrected comes out at 0.091 eV per atom. Its raw total energy is -6.310 eV per atom.

---

Here is Zn4MoAu after structural relaxation from the Alexandria database. Energies are from GGA-PBEsol.

a b c (Å): 4.9372 4.9372 4.9372
angles (deg): 60.00 60.00 60.00
With the nearest neighbours (Å) after each atom.
Atoms (fractional coordinates):
Mo 0.0000 0.0000 0.0000  12 Zn 2.89, 4 Au 3.02
Zn 0.6260 0.1221 0.6260  6 Zn 2.45-2.49
Zn 0.6260 0.6260 0.1221  6 Zn 2.45-2.49
Zn 0.6260 0.6260 0.6260  6 Zn 2.45-2.49
Zn 0.1221 0.6260 0.6260  6 Zn 2.45-2.49
Au 0.2500 0.2500 0.2500  12 Zn 2.90, 4 Mo 3.02

Properties
The total magnetization comes out at 0.00 μB per formula unit. Its raw total energy is -3.470 eV per atom.

---

Here is B3AuI after structural relaxation from the Alexandria database. Energies are from GGA-PBEsol.

a b c (Å): 4.3501 4.3501 4.3501
angles (deg): 90.00 90.00 90.00
With the nearest neighbours (Å) after each atom.
Atoms (fractional coordinates):
B 0.5000 0.0000 0.0000  2 I 2.18
B 0.0000 0.0000 0.5000  2 I 2.18
B 0.0000 0.5000 0.0000  2 I 2.18
Au 0.5000 0.5000 0.5000  12 B 3.08
I 0.0000 0.0000 0.0000  6 B 2.18

Properties
The total magnetization comes out at 0.00 μB per formula unit. The energy relative to the elements, uncorrected comes out at 2.631 eV per atom. Its raw total energy is -2.717 eV per atom.

---

Here is BeIr2Os after structural relaxation from the Alexandria database. Energies are from GGA-PBEsol.

a b c (Å): 2.7332 2.7332 6.6203
angles (deg): 90.00 90.00 90.00
With the nearest neighbours (Å) after each atom.
Atoms (fractional coordinates):
Ir 0.0000 0.0000 0.7163  4 Be 2.41
Ir 0.0000 0.0000 0.2837  4 Be 2.41
Os 0.5000 0.5000 0.0000  8 Ir 2.69, 4 Os 2.73
Be 0.5000 0.5000 0.5000  8 Ir 2.41

Properties
The total magnetization comes out at 0.00 μB per formula unit. Its raw total energy is -9.229 eV per atom.

---

Here is Sm2MgAl after structural relaxation from the Alexandria database. Energies are from GGA-PBEsol.

a b c (Å): 5.2320 5.2320 5.2320
angles (deg): 60.00 60.00 60.00
With the nearest neighbours (Å) after each atom.
Atoms (fractional coordinates):
Mg 0.0000 0.0000 0.0000  8 Sm 3.20
Sm 0.2500 0.2500 0.2500  4 Al 3.20, 4 Mg 3.20
Sm 0.7500 0.7500 0.7500  4 Mg 3.20, 4 Al 3.20
Al 0.5000 0.5000 0.5000  8 Sm 3.20

Properties
The total magnetization comes out at 0.00 μB per formula unit. Its raw total energy is -4.262 eV per atom.

---

Here is La3In after structural relaxation from the Alexandria database. Energies are from GGA-PBEsol.

a b c (Å): 3.5693 5.7024 6.1033
angles (deg): 90.00 96.79 90.00
With the nearest neighbours (Å) after each atom.
Atoms (fractional coordinates):
La 0.2151 0.5000 0.7720  7 La 3.25-3.57, 2 In 3.30
La 0.5000 0.0000 0.5000  4 In 3.35-3.71, 6 La 3.51-3.57
La 0.7849 0.5000 0.2280  7 La 3.25-3.57, 2 In 3.30
In 0.0000 0.0000 0.0000  6 La 3.30-3.35, 2 In 3.57

Properties
The calculation puts the energy above the most stable polymorph in this dataset at 118 meV/atom. The total magnetization comes out at 0.00 μB per formula unit. Its raw total energy is -4.964 eV per atom.

---

Here is FeGe3Au after structural relaxation from the Alexandria database. Energies are from GGA-PBEsol.

a b c (Å): 4.8980 4.8980 4.8980
angles (deg): 90.00 90.00 90.00
With the nearest neighbours (Å) after each atom.
Atoms (fractional coordinates):
Ge 0.5000 0.0000 0.0000  2 Au 2.45
Ge 0.0000 0.5000 0.0000  2 Au 2.45
Ge 0.0000 0.0000 0.5000  2 Au 2.45
Au 0.0000 0.0000 0.0000  6 Ge 2.45
Fe 0.5000 0.5000 0.5000  12 Ge 3.46

Properties
The total magnetization comes out at 3.18 μB per formula unit. Its raw total energy is -4.360 eV per atom.

---

Here is Al3Au8 after structural relaxation from the Alexandria database. Energies are from GGA-PBEsol.

a b c (Å): 7.7158 7.7158 14.6361
angles (deg): 74.72 74.72 60.00
With the nearest neighbours (Å) after each atom.
Atoms (fractional coordinates):
Au 0.8512 0.4959 0.4485  4 Al 2.60-2.77, 5 Au 2.85-2.88
Au 0.8454 0.3821 0.6555  3 Al 2.67-2.81, 7 Au 2.77-2.95
Au 0.7957 0.1488 0.5515  4 Al 2.60-2.77, 5 Au 2.85-2.88
Au 0.0041 0.6488 0.0515  4 Al 2.60-2.77, 5 Au 2.85-2.88
Au 0.9959 0.3512 0.9485  4 Al 2.60-2.77, 5 Au 2.85-2.88
Au 0.2957 0.0041 0.0515  4 Al 2.60-2.77, 5 Au 2.85-2.88
Au 0.3512 0.7043 0.9485  4 Al 2.60-2.77, 5 Au 2.85-2.88
Au 0.7043 0.9959 0.9485  4 Al 2.60-2.77, 5 Au 2.85-2.88
Au 0.6170 0.8821 0.1555  3 Al 2.67-2.81, 7 Au 2.77-2.95
Au 0.3821 0.1170 0.6555  3 Al 2.67-2.81, 7 Au 2.77-2.95
Au 0.0647 0.0647 0.8059  4 Al 2.71-2.76, 6 Au 2.90-2.95
Au 0.2172 0.2172 0.3483  4 Al 2.59-2.79, 7 Au 2.74-2.87
Au 0.1170 0.8454 0.6555  3 Al 2.67-2.81, 7 Au 2.77-2.95
Au 0.3830 0.1179 0.8445  3 Al 2.67-2.81, 7 Au 2.77-2.95
Au 0.1546 0.6179 0.3445  3 Al 2.67-2.81, 7 Au 2.77-2.95
Au 0.5647 0.5647 0.3059  4 Al 2.71-2.76, 6 Au 2.90-2.95
Au 0.4959 0.2043 0.4485  4 Al 2.60-2.77, 5 Au 2.85-2.88
Au 0.8830 0.1546 0.3445  3 Al 2.67-2.81, 7 Au 2.77-2.95
Au 0.1488 0.5041 0.5515  4 Al 2.60-2.77, 5 Au 2.85-2.88
Au 0.2828 0.2828 0.1517  4 Al 2.59-2.79, 7 Au 2.74-2.87
Au 0.9353 0.9353 0.1941  4 Al 2.71-2.76, 6 Au 2.90-2.95
Au 0.7172 0.7172 0.8483  4 Al 2.59-2.79, 7 Au 2.74-2.87
Au 0.5041 0.7957 0.5515  4 Al 2.60-2.77, 5 Au 2.85-2.88
Au 0.6546 0.3830 0.8445  3 Al 2.67-2.81, 7 Au 2.77-2.95
Au 0.7828 0.7828 0.6517  4 Al 2.59-2.79, 7 Au 2.74-2.87
Au 0.1179 0.6546 0.8445  3 Al 2.67-2.81, 7 Au 2.77-2.95
Au 0.3454 0.6170 0.1555  3 Al 2.67-2.81, 7 Au 2.77-2.95
Au 0.6488 0.2957 0.0515  4 Al 2.60-2.77, 5 Au 2.85-2.88
Au 0.2043 0.8512 0.4485  4 Al 2.60-2.77, 5 Au 2.85-2.88
Au 0.6179 0.8830 0.3445  3 Al 2.67-2.81, 7 Au 2.77-2.95
Au 0.4353 0.4353 0.6941  4 Al 2.71-2.76, 6 Au 2.90-2.95
Au 0.8821 0.3454 0.1555  3 Al 2.67-2.81, 7 Au 2.77-2.95
Al 0.8447 0.8447 0.4659  10 Au 2.59-2.76
Al 0.7500 0.0656 0.7500  10 Au 2.68-2.81
Al 0.1553 0.1553 0.5341  10 Au 2.59-2.76
Al 0.5656 0.2500 0.2500  10 Au 2.68-2.81
Al 0.0656 0.4344 0.7500  10 Au 2.68-2.81
Al 0.0000 0.0000 0.0000  8 Au 2.60-2.71
Al 0.9344 0.5656 0.2500  10 Au 2.68-2.81
Al 0.3447 0.3447 0.9659  10 Au 2.59-2.76
Al 0.6553 0.6553 0.0341  10 Au 2.59-2.76
Al 0.5000 0.5000 0.5000  8 Au 2.60-2.71
Al 0.2500 0.9344 0.2500  10 Au 2.68-2.81
Al 0.4344 0.7500 0.7500  10 Au 2.68-2.81

Properties
The total magnetization comes out at 0.00 μB per formula unit. Its raw total energy is -4.282 eV per atom.

---

Here is Cd3GaAs after structural relaxation from the Alexandria database. Energies are from GGA-PBEsol.

a b c (Å): 5.2024 5.2024 5.2024
angles (deg): 90.00 90.00 90.00
With the nearest neighbours (Å) after each atom.
Atoms (fractional coordinates):
Ga 0.5000 0.5000 0.5000  12 Cd 3.68
As 0.0000 0.0000 0.0000  6 Cd 2.60
Cd 0.0000 0.0000 0.5000  2 As 2.60
Cd 0.0000 0.5000 0.0000  2 As 2.60
Cd 0.5000 0.0000 0.0000  2 As 2.60

Properties
The total magnetization comes out at 0.00 μB per formula unit. Its raw total energy is -1.928 eV per atom.

---

Here is CuH6SO7 after structural relaxation from the Alexandria database. Energies are from GGA-PBEsol.

a b c (Å): 5.3947 7.1642 7.3150
angles (deg): 86.69 68.36 80.99
With the nearest neighbours (Å) after each atom.
Atoms (fractional coordinates):
O 0.4719 0.0857 0.6020  2 H 1.01
O 0.5713 0.4296 0.1942  2 H 1.01-1.03
O 0.1367 0.5035 0.9138  1 S 1.48, 1 H 1.61
O 0.0738 0.5857 0.3980  2 H 1.01
O 0.5400 0.6258 0.8965  1 S 1.49, 2 H 1.54-1.63
O 0.1826 0.9317 0.3698  1 S 1.49, 1 H 1.62
O 0.7654 0.9296 0.8058  2 H 1.01-1.03
O 0.3175 0.7460 0.6695  1 S 1.49
O 0.0505 0.0035 0.0862  1 S 1.48, 1 H 1.61
O 0.5524 0.4317 0.6302  1 S 1.49, 1 H 1.62
O 0.7108 0.7609 0.2288  2 H 1.00-1.01
O 0.9870 0.2460 0.3305  1 S 1.49
O 0.9396 0.2609 0.7712  2 H 1.00-1.01
O 0.4365 0.1258 0.1035  1 S 1.49, 2 H 1.54-1.63
H 0.5703 0.5045 0.0702  1 O 1.03
H 0.5555 0.2954 0.1677  1 O 1.01
H 0.8427 0.3245 0.6869  1 O 1.00
H 0.8396 0.8574 0.1827  1 O 1.01
H 0.6405 0.0045 0.9298  1 O 1.03
H 0.5296 0.8245 0.3131  1 O 1.00
H 0.0928 0.7243 0.3857  1 O 1.01
H 0.5992 0.0166 0.6642  1 O 1.01
H 0.0223 0.3574 0.8173  1 O 1.01
H 0.7232 0.7954 0.8323  1 O 1.01
H 0.4785 0.2243 0.6143  1 O 1.01
H 0.2634 0.5166 0.3358  1 O 1.01
Cu 0.8441 0.5032 0.2808  4 O 1.92-1.95
Cu 0.1249 0.0032 0.7192  4 O 1.92-1.95
S 0.1625 0.0768 0.2191  4 O 1.48-1.49
S 0.3817 0.5768 0.7809  4 O 1.48-1.49

Properties
The total magnetization comes out at 0.97 μB per formula unit. Its raw total energy is -5.439 eV per atom.

---

Here is BeNi2 after structural relaxation from the Alexandria database. Energies are from GGA-PBEsol.

a b c (Å): 3.3299 3.3299 10.5005
angles (deg): 99.12 99.12 90.00
With the nearest neighbours (Å) after each atom.
Atoms (fractional coordinates):
Be 0.0805 0.0805 0.1611  10 Ni 2.33-2.40, 2 Be 2.47
Be 0.1695 0.6695 0.3389  10 Ni 2.33-2.40, 2 Be 2.47
Be 0.3305 0.8305 0.6611  10 Ni 2.33-2.40, 2 Be 2.47
Be 0.9195 0.9195 0.8389  10 Ni 2.33-2.40, 2 Be 2.47
Ni 0.2507 0.2507 0.5014  4 Be 2.33-2.35, 8 Ni 2.35-2.42
Ni 0.5853 0.5853 0.1706  6 Ni 2.33-2.42, 6 Be 2.36-2.40
Ni 0.6647 0.1647 0.3294  6 Ni 2.33-2.42, 6 Be 2.36-2.40
Ni 0.9993 0.4993 0.9986  4 Be 2.33-2.35, 8 Ni 2.35-2.42
Ni 0.4147 0.4147 0.8294  6 Ni 2.33-2.42, 6 Be 2.36-2.40
Ni 0.5007 0.0007 0.0014  4 Be 2.33-2.35, 8 Ni 2.35-2.42
Ni 0.8353 0.3353 0.6706  6 Ni 2.33-2.42, 6 Be 2.36-2.40
Ni 0.7493 0.7493 0.4986  4 Be 2.33-2.35, 8 Ni 2.35-2.42

Properties
The total magnetization comes out at 0.00 μB per formula unit. Its raw total energy is -5.672 eV per atom.

---

Q: raw total energy of number 1 (CaTa2Co)?
A: -8.182 eV per atom

---

Repeat the fifth record exactly.
Here is BeIr2Os after structural relaxation from the Alexandria database. Energies are from GGA-PBEsol.

a b c (Å): 2.7332 2.7332 6.6203
angles (deg): 90.00 90.00 90.00
With the nearest neighbours (Å) after each atom.
Atoms (fractional coordinates):
Ir 0.0000 0.0000 0.7163  4 Be 2.41
Ir 0.0000 0.0000 0.2837  4 Be 2.41
Os 0.5000 0.5000 0.0000  8 Ir 2.69, 4 Os 2.73
Be 0.5000 0.5000 0.5000  8 Ir 2.41

Properties
The total magnetization comes out at 0.00 μB per formula unit. Its raw total energy is -9.229 eV per atom.